# 1
# Rb2HBr

An optimized crystal structure of Rb2HBr (PBE-GGA, the Alexandria database).

Unit cell a=5.6565 b=5.6565 c=5.6565 alpha=60.00 beta=60.00 gamma=60.00
Atoms (fractional coordinates):
H: 0.0000 0.0000 0.0000
Rb: 0.2500 0.2500 0.2500
Br: 0.5000 0.5000 0.5000
Rb: 0.7500 0.7500 0.7500

Summary:
Total energy   -10.4 eV/cell
Polymorph energy (0 for the lowest one)   0.33 eV/f.u.
Fermi-level density of states   0.000 states/eV per atom



# 2
# SrY2HfB

An optimized crystal structure of SrY2HfB (PBE-GGA, the Alexandria database).

Unit cell a=5.5030 b=5.1819 c=5.5030 alpha=90.00 beta=90.00 gamma=90.00
Atoms (fractional coordinates):
Hf: 0.0000 0.5000 0.0000
Y: 0.5000 0.0000 0.0000
Y: 0.0000 0.0000 0.5000
Sr: 0.0000 0.0000 0.0000
B: 0.5000 0.5000 0.5000

Summary:
Total energy   -19.3 eV/cell
Fermi-level density of states   1.879 states/eV per atom
Energy relative to the elements   2383 meV/atom



# 3
# CuSiSe2

An optimized crystal structure of CuSiSe2 (PBE-GGA, the Alexandria database).

Unit cell a=3.5648 b=7.0603 c=3.5096 alpha=90.00 beta=90.00 gamma=90.00
Atoms (fractional coordinates):
Cu: 0.0000 0.5000 0.5000
Se: 0.5000 0.5000 0.0000
Si: 0.5000 0.0000 0.5000
Se: 0.0000 0.0000 0.0000

Summary:
Total energy   -15.4 eV/cell
Raw formation energy   0.27 eV per atom
Fermi-level density of states   0.157 states/eV per atom



# 4
# GaBS2N

An optimized crystal structure of GaBS2N (PBE-GGA, the Alexandria database).

Unit cell a=4.8449 b=4.8449 c=4.1158 alpha=90.00 beta=90.00 gamma=90.00
Last column: magnetic moment on the atom in μB.
Atoms (fractional coordinates):
S: 0.5000 0.0000 0.0000  -0.22
S: 0.0000 0.5000 0.0000  -0.22
Ga: 0.0000 0.0000 0.0000  -0.01
B: 0.0000 0.0000 0.5000  -0.02
N: 0.5000 0.5000 0.5000  1.72

Summary:
Total energy   -16.6 eV/cell
Polymorph energy (0 for the lowest one)   8.40 eV/f.u.
Raw formation energy   1.94 eV per atom
Fermi-level density of states   0.726 states/eV per atom



total energy of number 2 (SrY2HfB)? -19.3 eV/cell